Entry 1:
A geometry-optimized Pt2Cl structure. Source: Alexandria, functional GGA-PBE.

abc: 6.6946 6.6946 5.3954
angles: 90.00 90.00 155.38
Atoms (fractional coordinates):
Pt1 0.0846 0.9154 0.7500
Pt2 0.5846 0.4154 0.2500
Pt3 0.4154 0.5846 0.7500
Pt4 0.9154 0.0846 0.2500
Cl1 0.7499 0.2501 0.7500
Cl2 0.2501 0.7499 0.2500

Calculated values
distance to the lowest polymorph of the same formula = 0.189 eV/atom
ΔE_f (raw) = 363 meV/atom
symmetry = Fmmm
density of states at the Fermi level = 1.030 states/eV per atom

***

Entry 2:
A geometry-optimized Pt2Cl structure. Source: Alexandria, functional GGA-PBE.

abc: 3.6101 3.6957 8.8409
angles: 90.00 90.00 90.00
Atoms (fractional coordinates):
Pt1 0.0000 0.1445 0.7241
Pt2 0.0000 0.8555 0.2759
Pt3 0.5000 0.3555 0.2241
Pt4 0.5000 0.6445 0.7759
Cl1 0.5000 0.5000 0.5000
Cl2 0.0000 0.0000 0.0000

Calculated values
distance to the lowest polymorph of the same formula = 0.345 eV/atom
ΔE_f (raw) = 519 meV/atom
symmetry = Pnnm
density of states at the Fermi level = 0.789 states/eV per atom

***

Entry 3:
A geometry-optimized PtCl structure. Source: Alexandria, functional GGA-PBE.

abc: 5.4089 5.4089 5.4089
angles: 90.00 90.00 90.00
Atoms (fractional coordinates):
Pt1 0.9372 0.5628 0.4372
Pt2 0.4372 0.9372 0.5628
Pt3 0.5628 0.4372 0.9372
Pt4 0.0628 0.0628 0.0628
Cl1 0.1863 0.6863 0.8137
Cl2 0.8137 0.1863 0.6863
Cl3 0.6863 0.8137 0.1863
Cl4 0.3137 0.3137 0.3137

Calculated values
ΔE_f (raw) = 610 meV/atom
symmetry = P2_13
density of states at the Fermi level = 1.013 states/eV per atom

***

Entry 4:
A geometry-optimized PtCl2 structure. Source: Alexandria, functional GGA-PBE.

abc: 4.1056 4.1056 9.0592
angles: 90.00 90.00 120.00
Each line ends with the local moment (μB).
Atoms (fractional coordinates):
Cl1 0.3333 0.6667 0.2500  0.13
Cl2 0.0000 0.0000 0.0000  0.30
Cl3 0.6667 0.3333 0.7500  0.13
Cl4 0.0000 0.0000 0.5000  0.30
Pt1 0.6667 0.3333 0.2500  0.65
Pt2 0.3333 0.6667 0.7500  0.65

Calculated values
ΔE_f (raw) = 532 meV/atom
symmetry = P6_3/mmc
density of states at the Fermi level = 1.424 states/eV per atom